The following is a PBE calculation of a geometry-optimized BSb2PdBr structure, from Alexandria via LeMat-Bulk.

N(E_F) = 2.22 states/eV/cell
electronic total energy = -3.87 eV per atom
spin magnetization = 0.0 μB per cell

a = 5.0106 Å, b = 5.0106 Å, c = 4.2748 Å
α = 90.00°, β = 90.00°, γ = 90.00°
Last column: nearest neighbours and their distance in Å.
Space group P4/mmm (No. 123)
Inequivalent atoms, fractional coordinates:
B1 0.0000 0.0000 0.0000  2 Pd 2.14
Sb1 0.0000 0.5000 0.0000  2 B 2.51
Pd1 0.0000 0.0000 0.5000  2 B 2.14
Br1 0.5000 0.5000 0.5000  8 Sb 3.29, 4 Pd 3.54